[1]
The following is a PBE calculation of ZrGaCl2 after structural relaxation, from the Alexandria database.

Cell: 8.8987 8.8987 6.9010 Å, 49.85 49.85 90.00°
Sites, in units of the cell vectors:
Cl1 0.7611 0.1250 0.2500
Cl2 0.8750 0.0111 0.7500
Cl3 0.9889 0.6250 0.2500
Cl4 0.3750 0.2389 0.7500
Zr1 0.7500 0.2500 0.5000
Zr2 0.0000 0.0000 0.0000
Ga1 0.2500 0.7500 0.5000
Ga2 0.5000 0.5000 0.0000

space group	I-42d, No. 122
total magnetization	0.00	μB per formula unit
raw formation energy	-0.6276	eV per atom
relative energy among the computed polymorphs	0.0	meV per atom

***

[2]
The following is a PBE calculation of ZrGa3Cl after structural relaxation, from the Alexandria database.

Cell: 5.4228 5.4228 5.4228 Å, 90.00 90.00 90.00°
Sites, in units of the cell vectors:
Ga1 0.0000 0.5000 0.0000
Ga2 0.5000 0.0000 0.0000
Ga3 0.0000 0.0000 0.5000
Cl1 0.5000 0.5000 0.5000
Zr1 0.0000 0.0000 0.0000

space group	Pm-3m, No. 221
total magnetization	2.46	μB per formula unit
raw formation energy	0.4758	eV per atom
relative energy among the computed polymorphs	45.3	meV per atom

***

[3]
The following is a PBE calculation of GdCl after structural relaxation, from the Alexandria database.

Cell: 3.6530 3.6530 9.5166 Å, 90.00 90.00 120.00°
Sites, in units of the cell vectors:
Cl1 0.3333 0.6667 0.0432
Cl2 0.6667 0.3333 0.5432
Gd1 0.6667 0.3333 0.8318
Gd2 0.3333 0.6667 0.3318

space group	P6_3mc, No. 186
total magnetization	7.01	μB per formula unit
raw formation energy	-1.2989	eV per atom

***

[4]
The following is a PBE calculation of GdCl after structural relaxation, from the Alexandria database.

Cell: 3.5171 5.6784 4.7377 Å, 90.00 89.97 90.00°
Sites, in units of the cell vectors:
Gd1 0.7500 0.2500 0.8494
Gd2 0.2500 0.7500 0.1506
Cl1 0.2506 0.2500 0.3539
Cl2 0.7494 0.7500 0.6461

space group	Pmmn, No. 59
total magnetization	7.27	μB per formula unit
raw formation energy	-1.2393	eV per atom

***

[5]
The following is a PBE calculation of PmGdGeCl after structural relaxation, from the Alexandria database.

Cell: 5.1221 5.1221 5.1221 Å, 60.00 60.00 60.00°
Sites, in units of the cell vectors:
Cl1 0.5000 0.5000 0.5000
Pm1 0.7500 0.7500 0.7500
Gd1 0.2500 0.2500 0.2500
Ge1 0.0000 0.0000 0.0000

space group	F-43m, No. 216
total magnetization	7.53	μB per formula unit
raw formation energy	-1.0348	eV per atom

***

[6]
The following is a PBE calculation of Gd2HCl after structural relaxation, from the Alexandria database.

Cell: 3.6030 3.6030 7.3793 Å, 75.87 75.87 60.00°
Sites, in units of the cell vectors:
Cl1 0.5000 0.5000 0.5000
H1 0.0000 0.0000 0.0000
Gd1 0.7310 0.7310 0.8071
Gd2 0.2690 0.2690 0.1929

space group	R-3m, No. 166
total magnetization	14.09	μB per formula unit
total DFT energy (no corrections)	-9.21	eV per atom

***

[7]
The following is a PBE calculation of GdH2ClO2 after structural relaxation, from the Alexandria database.

Cell: 3.7024 6.3720 6.6865 Å, 73.91 90.00 90.00°
Sites, in units of the cell vectors:
O1 0.7500 0.8961 0.9072
O2 0.2500 0.5454 0.8390
O3 0.2500 0.1039 0.0928
O4 0.7500 0.4546 0.1610
Gd1 0.7500 0.2838 0.8872
Gd2 0.2500 0.7162 0.1128
Cl1 0.2500 0.2336 0.5692
Cl2 0.7500 0.7664 0.4308
H1 0.2500 0.1236 0.2330
H2 0.2500 0.6360 0.6942
H3 0.7500 0.3640 0.3058
H4 0.7500 0.8764 0.7670

space group	P2_1/m, No. 11
total magnetization	7.00	μB per formula unit
total DFT energy (no corrections)	-7.50	eV per atom

***

[8]
The following is a PBE calculation of GdHgCl2 after structural relaxation, from the Alexandria database.

Cell: 3.8346 3.8346 11.5353 Å, 80.43 80.43 60.00°
Sites, in units of the cell vectors:
Cl1 0.1174 0.1174 0.6478
Cl2 0.8826 0.8826 0.3522
Hg1 0.0000 0.0000 0.0000
Gd1 0.5000 0.5000 0.5000

space group	R-3m, No. 166
total magnetization	7.08	μB per formula unit
raw formation energy	-1.4496	eV per atom

***

[9]
The following is a PBE calculation of Gd3HoCl after structural relaxation, from the Alexandria database.

Cell: 5.3358 5.3358 5.3358 Å, 90.00 90.00 90.00°
Sites, in units of the cell vectors:
Gd1 0.0000 0.0000 0.5000
Gd2 0.5000 0.0000 0.0000
Gd3 0.0000 0.5000 0.0000
Ho1 0.5000 0.5000 0.5000
Cl1 0.0000 0.0000 0.0000

space group	Pm-3m, No. 221
total magnetization	21.55	μB per formula unit
raw formation energy	-0.4452	eV per atom

***

[10]
The following is a PBE calculation of GdHoCl2 after structural relaxation, from the Alexandria database.

Cell: 3.5302 3.5302 9.7800 Å, 79.60 79.60 60.00°
Sites, in units of the cell vectors:
Cl1 0.9015 0.9015 0.2956
Cl2 0.0985 0.0985 0.7044
Ho1 0.5000 0.5000 0.5000
Gd1 0.0000 0.0000 0.0000

space group	R-3m, No. 166
total magnetization	7.59	μB per formula unit
raw formation energy	-1.2415	eV per atom

***

[11]
The following is a PBE calculation of Gd2ICl after structural relaxation, from the Alexandria database.

Cell: 3.7085 3.7085 9.4080 Å, 78.63 78.63 60.00°
Sites, in units of the cell vectors:
Gd1 0.2566 0.2566 0.2302
Gd2 0.7434 0.7434 0.7698
I1 0.5000 0.5000 0.5000
Cl1 0.0000 0.0000 0.0000

space group	R-3m, No. 166
total magnetization	14.32	μB per formula unit
raw formation energy	-0.9834	eV per atom

***

[12]
The following is a PBE calculation of Gd2InCl after structural relaxation, from the Alexandria database.

Cell: 3.8969 3.8969 8.2863 Å, 76.40 76.40 60.00°
Sites, in units of the cell vectors:
Cl1 0.0000 0.0000 0.0000
Gd1 0.2624 0.2624 0.2128
Gd2 0.7376 0.7376 0.7872
In1 0.5000 0.5000 0.5000

space group	R-3m, No. 166
total magnetization	13.84	μB per formula unit
raw formation energy	-0.8400	eV per atom

***

[13]
The following is a PBE calculation of Gd2InCl after structural relaxation, from the Alexandria database.

Cell: 3.4621 3.4621 8.4149 Å, 90.00 90.00 90.00°
Sites, in units of the cell vectors:
Gd1 0.0000 0.0000 0.2476
Gd2 0.0000 0.0000 0.7524
In1 0.5000 0.5000 0.5000
Cl1 0.5000 0.5000 0.0000

space group	P4/mmm, No. 123
total magnetization	15.32	μB per formula unit
raw formation energy	-0.8387	eV per atom

***

[14]
The following is a PBE calculation of K2GdCl5 after structural relaxation, from the Alexandria database.

Cell: 8.0978 8.6874 12.9708 Å, 90.00 90.00 90.00°
Sites, in units of the cell vectors:
K1 0.4487 0.5035 0.6720
K2 0.4487 0.9965 0.6720
K3 0.9487 0.4965 0.8280
K4 0.0513 0.9965 0.1720
K5 0.5513 0.0035 0.3280
K6 0.9487 0.0035 0.8280
K7 0.5513 0.4965 0.3280
K8 0.0513 0.5035 0.1720
Cl1 0.6205 0.2500 0.8242
Cl2 0.3415 0.2500 0.1983
Cl3 0.1613 0.5425 0.4253
Cl4 0.9123 0.7500 0.0109
Cl5 0.8795 0.2500 0.3242
Cl6 0.6613 0.0425 0.0747
Cl7 0.3387 0.9575 0.9253
Cl8 0.6613 0.4575 0.0747
Cl9 0.4123 0.2500 0.4891
Cl10 0.5877 0.7500 0.5109
Cl11 0.1205 0.7500 0.6758
Cl12 0.8387 0.0425 0.5747
Cl13 0.3387 0.5425 0.9253
Cl14 0.8415 0.7500 0.3017
Cl15 0.1613 0.9575 0.4253
Cl16 0.3795 0.7500 0.1758
Cl17 0.1585 0.2500 0.6983
Cl18 0.6585 0.7500 0.8017
Cl19 0.8387 0.4575 0.5747
Cl20 0.0877 0.2500 0.9891
Gd1 0.0729 0.2500 0.4953
Gd2 0.5729 0.7500 0.0047
Gd3 0.4271 0.2500 0.9953
Gd4 0.9271 0.7500 0.5047

space group	Pnma, No. 62
total magnetization	6.97	μB per formula unit
raw formation energy	-2.1634	eV per atom

***

[15]
The following is a PBE calculation of K3GdCl6 after structural relaxation, from the Alexandria database.

Cell: 7.9989 13.0737 13.3104 Å, 70.01 90.00 90.00°
Sites, in units of the cell vectors:
Gd1 0.0000 0.0000 0.0000
Gd2 0.5000 0.0000 0.5000
Gd3 0.0000 0.5000 0.5000
Gd4 0.5000 0.5000 0.0000
Cl1 0.9422 0.8204 0.9503
Cl2 0.1816 0.8862 0.1707
Cl3 0.2745 0.5444 0.3743
Cl4 0.2231 0.5470 0.8763
Cl5 0.5611 0.8183 0.4545
Cl6 0.6834 0.1109 0.3289
Cl7 0.0611 0.6817 0.5455
Cl8 0.7255 0.4556 0.6257
Cl9 0.7769 0.4530 0.1237
Cl10 0.3184 0.3862 0.1707
Cl11 0.7231 0.9530 0.1237
Cl12 0.1834 0.3891 0.6711
Cl13 0.3166 0.8891 0.6711
Cl14 0.7745 0.9556 0.6257
Cl15 0.5578 0.3204 0.9503
Cl16 0.0578 0.1796 0.0497
Cl17 0.6816 0.6138 0.8293
Cl18 0.2255 0.0444 0.3743
Cl19 0.8184 0.1138 0.8293
Cl20 0.8166 0.6109 0.3289
Cl21 0.4389 0.1817 0.5455
Cl22 0.2769 0.0470 0.8763
Cl23 0.9389 0.3183 0.4545
Cl24 0.4422 0.6796 0.0497
K1 0.5727 0.3860 0.3554
K2 0.5708 0.8849 0.8584
K3 0.0012 0.2494 0.2522
K4 0.0708 0.6151 0.1416
K5 0.9292 0.3849 0.8584
K6 0.9988 0.7506 0.7478
K7 0.0727 0.1140 0.6446
K8 0.9273 0.8860 0.3554
K9 0.4273 0.6140 0.6446
K10 0.4292 0.1151 0.1416
K11 0.5012 0.2506 0.7478
K12 0.4988 0.7494 0.2522

space group	P2_1/c, No. 14
total magnetization	6.89	μB per formula unit
raw formation energy	-2.1303	eV per atom

***

[16]
The following is a PBE calculation of K5Gd3Cl12 after structural relaxation, from the Alexandria database.

Cell: 15.0647 15.0647 15.0647 Å, 109.47 109.47 109.47°
Sites, in units of the cell vectors:
Cl1 0.8867 0.0575 0.6272
Cl2 0.5697 0.2405 0.1272
Cl3 0.2595 0.8728 0.9303
Cl4 0.1707 0.0575 0.9303
Cl5 0.9425 0.1133 0.8728
Cl6 0.6133 0.8728 0.4425
Cl7 0.7405 0.1272 0.0697
Cl8 0.1133 0.1707 0.2405
Cl9 0.8728 0.2595 0.4303
Cl10 0.4425 0.3728 0.6133
Cl11 0.7595 0.4303 0.3728
Cl12 0.2405 0.5697 0.6272
Cl13 0.6272 0.5575 0.8867
Cl14 0.3293 0.7595 0.3867
Cl15 0.1272 0.7405 0.5697
Cl16 0.0697 0.4425 0.8293
Cl17 0.2595 0.3867 0.8293
Cl18 0.3293 0.5697 0.4425
Cl19 0.5575 0.6272 0.3867
Cl20 0.6707 0.2405 0.6133
Cl21 0.1272 0.3867 0.0575
Cl22 0.3728 0.9303 0.7595
Cl23 0.0575 0.8867 0.1272
Cl24 0.8728 0.6133 0.9425
Cl25 0.7405 0.6133 0.1707
Cl26 0.8867 0.8293 0.7595
Cl27 0.4303 0.6707 0.0575
Cl28 0.3867 0.2595 0.3293
Cl29 0.4425 0.0697 0.3293
Cl30 0.5575 0.9303 0.6707
Cl31 0.8293 0.9425 0.0697
Cl32 0.9425 0.8293 0.5697
Cl33 0.7595 0.3293 0.8867
Cl34 0.8293 0.8867 0.2595
Cl35 0.0575 0.1707 0.4303
Cl36 0.1133 0.9425 0.3728
Cl37 0.9303 0.3728 0.2595
Cl38 0.0697 0.6272 0.7405
Cl39 0.3728 0.4425 0.1133
Cl40 0.2405 0.6707 0.1133
Cl41 0.5697 0.3293 0.9425
Cl42 0.6272 0.0697 0.2405
Cl43 0.9303 0.5575 0.1707
Cl44 0.3867 0.1272 0.5575
Cl45 0.6133 0.7405 0.6707
Cl46 0.6707 0.4303 0.5575
Cl47 0.1707 0.1133 0.7405
Cl48 0.4303 0.7595 0.8728
K1 0.2500 0.3750 0.6250
K2 0.7500 0.1250 0.8750
K3 0.5000 0.0000 0.5000
K4 0.0000 0.0000 0.0000
K5 0.6250 0.8750 0.2500
K6 0.0000 0.0000 0.5000
K7 0.5000 0.5000 0.0000
K8 0.8750 0.2500 0.6250
K9 0.0000 0.5000 0.0000
K10 0.5000 0.0000 0.0000
K11 0.3750 0.2500 0.1250
K12 0.6250 0.7500 0.8750
K13 0.1250 0.7500 0.3750
K14 0.1250 0.3750 0.2500
K15 0.3750 0.1250 0.7500
K16 0.8750 0.6250 0.7500
K17 0.2500 0.8750 0.1250
K18 0.7500 0.6250 0.3750
K19 0.0000 0.5000 0.5000
K20 0.5000 0.5000 0.5000
Gd1 0.3750 0.6250 0.2500
Gd2 0.7500 0.8750 0.6250
Gd3 0.1250 0.2500 0.8750
Gd4 0.1250 0.8750 0.7500
Gd5 0.6250 0.2500 0.3750
Gd6 0.8750 0.1250 0.2500
Gd7 0.8750 0.7500 0.1250
Gd8 0.6250 0.3750 0.7500
Gd9 0.2500 0.1250 0.3750
Gd10 0.2500 0.6250 0.8750
Gd11 0.7500 0.3750 0.1250
Gd12 0.3750 0.7500 0.6250

space group	Ia-3d, No. 230
total magnetization	20.98	μB per formula unit
raw formation energy	-1.8463	eV per atom

***

[17]
The following is a PBE calculation of KGdCl2 after structural relaxation, from the Alexandria database.

Cell: 3.9356 3.9356 10.3848 Å, 79.08 79.08 60.00°
Sites, in units of the cell vectors:
Gd1 0.5000 0.5000 0.5000
K1 0.0000 0.0000 0.0000
Cl1 0.1112 0.1112 0.6664
Cl2 0.8888 0.8888 0.3336

space group	R-3m, No. 166
total magnetization	7.09	μB per formula unit
raw formation energy	-1.4125	eV per atom

***

[18]
The following is a PBE calculation of LaGd3Cl after structural relaxation, from the Alexandria database.

Cell: 5.4054 5.4054 5.4054 Å, 90.00 90.00 90.00°
Sites, in units of the cell vectors:
Cl1 0.0000 0.0000 0.0000
Gd1 0.0000 0.5000 0.0000
Gd2 0.0000 0.0000 0.5000
Gd3 0.5000 0.0000 0.0000
La1 0.5000 0.5000 0.5000

space group	Pm-3m, No. 221
total magnetization	21.48	μB per formula unit
raw formation energy	-0.4671	eV per atom

***

[19]
The following is a PBE calculation of LaGd2Cl after structural relaxation, from the Alexandria database.

Cell: 3.6790 3.6790 10.2989 Å, 79.71 79.71 60.00°
Sites, in units of the cell vectors:
Gd1 0.2622 0.2622 0.2133
Gd2 0.7378 0.7378 0.7867
Cl1 0.0000 0.0000 0.0000
La1 0.5000 0.5000 0.5000

space group	R-3m, No. 166
total magnetization	14.14	μB per formula unit
raw formation energy	-0.6785	eV per atom

***

[20]
The following is a PBE calculation of LaGdCl after structural relaxation, from the Alexandria database.

Cell: 3.7849 3.7849 7.3132 Å, 90.00 90.00 120.00°
Sites, in units of the cell vectors:
La1 0.0000 0.0000 0.9787
Cl1 0.3333 0.6667 0.6533
Gd1 0.6667 0.3333 0.3681

space group	P3m1, No. 156
total magnetization	7.72	μB per formula unit
raw formation energy	-0.9319	eV per atom

***

[21]
The following is a PBE calculation of LaGd3Cl4O4 after structural relaxation, from the Alexandria database.

Cell: 7.9696 7.9696 3.9973 Å, 90.00 90.00 119.82°
Sites, in units of the cell vectors:
Gd1 0.5840 0.9151 0.5000
Gd2 0.0849 0.4160 0.5000
Gd3 0.6686 0.3314 0.0000
O1 0.5059 0.0024 0.0000
O2 0.7516 0.2484 0.5000
O3 0.9976 0.4941 0.0000
O4 0.2517 0.7483 0.5000
Cl1 0.4330 0.5670 0.0000
Cl2 0.8068 0.6778 0.5000
Cl3 0.9340 0.0660 0.0000
Cl4 0.3222 0.1932 0.5000
La1 0.1598 0.8402 0.0000

space group	Amm2, No. 38
total magnetization	20.96	μB per formula unit
raw formation energy	-3.0672	eV per atom